CsNa2CoF6: relaxed, PBE with a Hubbard U.

Summary:
DFT total energy: -0.3231 Ry per atom

Lattice parameters (Å, degrees): 6.0185 6.0237 8.5216 90.00 90.23 90.00
Closest atoms and distances in Å follow each position.
Positions (direct):
Cs 0.5000 0.0000 0.0000  8 F 3.09-3.44
Cs 0.0000 0.5000 0.5000  8 F 3.09-3.44
Na 0.0042 0.9119 0.2156  6 F 2.23-2.49
Na 0.5042 0.5881 0.7156  6 F 2.23-2.49
Na 0.9958 0.0881 0.7844  6 F 2.23-2.49
Na 0.4958 0.4119 0.2844  6 F 2.23-2.49
Co 0.5000 0.0000 0.5000  6 F 1.86-1.89
Co 0.0000 0.5000 0.0000  6 F 1.86-1.89
F 0.2296 0.5931 0.1363  1 Co 1.89
F 0.7296 0.9069 0.6363  1 Co 1.89
F 0.7704 0.4069 0.8637  1 Co 1.89
F 0.2704 0.0931 0.3637  1 Co 1.89
F 0.4630 0.7053 0.4419  1 Co 1.86
F 0.9630 0.7947 0.9419  1 Co 1.86
F 0.5370 0.2947 0.5581  1 Co 1.86
F 0.0370 0.2053 0.0581  1 Co 1.86
F 0.8009 0.5578 0.1659  1 Co 1.89
F 0.3009 0.9422 0.6659  1 Co 1.89
F 0.1991 0.4422 0.8341  1 Co 1.89
F 0.6991 0.0578 0.3341  1 Co 1.89